(1)
A relaxed LiYAu crystal, computed with PBE-GGA.

a b c (Å): 4.0762 4.0762 7.9006
angles (deg): 90.00 90.00 90.01
With the nearest neighbours (Å) after each atom.
Fractional coordinates of all 6 atoms:
Au1 0.6865 0.6865 0.3354  4 Li 2.87, 5 Y 2.98-3.13
Au2 0.1864 0.1864 0.8255  4 Li 2.86-2.87, 5 Y 2.98-3.13
Li1 0.6862 0.1863 0.0803  4 Au 2.86-2.87, 4 Li 2.88
Li2 0.1863 0.6862 0.0803  4 Au 2.86-2.87, 4 Li 2.88
Y1 0.1865 0.1865 0.4292  5 Au 2.98-3.13
Y2 0.6864 0.6864 0.7317  5 Au 2.98-3.13

Output
Space group: P4/nmm (129)
Energy (eV/cell): -26.9
E above lowest polymorph (kJ per mole of atoms): 0.0
Total magnetic moment (μB/cell): 0.0
Theoretical density (Mg/m³): 7.4

(2)
A relaxed ZnGe2Pt crystal, computed with PBE-GGA.

a b c (Å): 4.5483 4.5483 4.5483
angles (deg): 60.00 60.00 60.00
With the nearest neighbours (Å) after each atom.
Fractional coordinates of all 4 atoms:
Ge1 0.0000 0.0000 0.0000  4 Zn 2.79, 4 Ge 2.79
Ge2 0.7500 0.7500 0.7500  4 Pt 2.79, 4 Ge 2.79
Pt1 0.5000 0.5000 0.5000  4 Zn 2.79, 4 Ge 2.79
Zn1 0.2500 0.2500 0.2500  4 Pt 2.79, 4 Ge 2.79

Output
Space group: F-43m (216)
Energy (eV/cell): -16.4
Total magnetic moment (μB/cell): 0.0
Theoretical density (Mg/m³): 10.1

Asked for V across the records above, the calculation gives 65.63; 66.53 Å³/f.u. in order.